[1]
Here is a geometry-optimized Mn6OF11 structure from Alexandria via LeMat-Bulk. Energies are from GGA-PBEsol.

Structure (extended XYZ):
```
36
Lattice="4.855 0.022 0.000 0.081 5.746 0.000 0.000 0.000 15.861" Properties=species:S:1:pos:R:3 pbc="T T T"
Mn 1.301 3.364 3.145
Mn 3.729 0.507 8.254
Mn 1.162 5.427 5.819
Mn 1.254 3.417 13.684
Mn 3.598 0.459 3.065
Mn 3.761 2.421 0.434
Mn 3.774 0.341 13.749
Mn 3.635 2.404 11.076
Mn 1.175 3.347 8.365
Mn 3.682 2.351 5.754
Mn 1.338 5.310 10.996
Mn 1.207 5.261 0.324
O 4.650 0.970 6.535
O 0.285 4.799 14.465
F 4.736 0.797 11.929
F 2.673 0.729 15.452
F 0.039 1.962 14.555
F 0.244 3.602 11.927
F 2.425 0.885 4.758
F 2.511 4.883 12.689
F 2.263 5.039 7.522
F 4.897 3.807 6.624
F 0.200 4.972 3.999
F 4.692 2.166 3.997
F 2.418 3.588 15.327
F 2.562 0.842 10.026
F 2.421 3.717 4.945
F 4.836 0.864 1.400
F 2.561 2.081 2.157
F 4.788 2.058 9.333
F 2.375 3.687 10.088
F 2.374 4.926 2.096
F 0.148 3.710 1.403
F 2.515 2.052 12.876
F 2.518 2.180 7.397
F 0.099 4.904 9.330
```

Output
relative energy among the computed polymorphs = 9 meV per atom
SG = P2_1, No. 4
uncorrected formation energy = -2.165 eV per atom
E_tot = -6.89 eV per atom
magnetization = 1.61 μB/atom


[2]
Here is a geometry-optimized Mn2OF3 structure from Alexandria via LeMat-Bulk. Energies are from GGA-PBEsol.

Structure (extended XYZ):
```
24
Lattice="-0.832 4.559 0.326 -5.817 -1.110 0.684 1.297 -0.495 10.236" Properties=species:S:1:pos:R:3 pbc="T T T"
Mn -2.260 -0.802 5.460
Mn 0.649 -0.247 5.118
Mn -0.980 1.878 7.709
Mn -4.372 1.077 3.537
Mn -0.416 2.280 0.163
Mn -3.324 1.724 0.505
Mn -1.960 3.942 2.721
Mn -3.391 -0.988 8.525
O -1.937 2.842 1.131
O -1.385 3.123 6.287
O -3.967 -0.169 4.958
O -3.415 0.112 10.114
F -4.804 2.313 1.867
F -4.235 2.504 7.016
F -1.116 0.450 4.229
F -0.547 0.641 9.379
F -0.182 3.204 3.722
F -3.076 2.651 4.063
F 0.450 3.049 8.847
F -2.444 2.496 9.187
F -2.907 0.458 2.058
F -5.802 -0.094 2.398
F -2.276 0.303 7.183
F -5.170 -0.250 7.523
```

Output
relative energy among the computed polymorphs = 27 meV per atom
SG = Pnma, No. 62
uncorrected formation energy = -2.053 eV per atom
E_tot = -7.15 eV per atom
magnetization = 1.50 μB/atom


Q: Which value of uncorrected formation energy does entry 2 give?
A: -2.053 eV per atom


Q: The highest E_tot belongs to which entry?
A: Mn6OF11